[1]
Below is TlHg2W at its PBEsol-relaxed geometry, with properties calculated at the meta-GGA SCAN level.

a b c (Å): 4.9260 4.9260 4.9260
angles (deg): 60.00 60.00 60.00
Atoms (fractional coordinates):
Tl 0.0000 0.0000 0.0000
Hg 0.2500 0.2500 0.2500
Hg 0.7500 0.7500 0.7500
W 0.5000 0.5000 0.5000

Properties
For the calculated formation energy, the calculation gives 1.18 eV per atom. The total energy is -68.418 eV per atom. The magnetic moment is 0.80 μB per atom. Its density is 15.51 g/cm3.

[2]
Below is TlHg2W at its PBEsol-relaxed geometry, with properties calculated at the meta-GGA SCAN level.

a b c (Å): 6.7939 6.7939 6.7939
angles (deg): 155.27 137.93 49.41
Atoms (fractional coordinates):
Tl 0.0000 0.0000 0.0000
Hg 0.3013 0.8013 0.5000
Hg 0.6987 0.1987 0.5000
W 0.5000 0.5000 0.0000

Properties
For the calculated formation energy, the calculation gives 0.72 eV per atom. The total energy is -68.872 eV per atom. The magnetic moment is 0.19 μB per atom. Its density is 14.97 g/cm3.

[3]
Below is TlHg2W at its PBEsol-relaxed geometry, with properties calculated at the meta-GGA SCAN level.

a b c (Å): 2.9740 4.8038 5.8091
angles (deg): 90.00 98.94 90.00
Atoms (fractional coordinates):
Tl 0.0000 0.0000 0.0000
Hg 0.4006 0.5000 0.7267
Hg 0.5994 0.5000 0.2733
W 0.0000 0.0000 0.5000

Properties
For the calculated formation energy, the calculation gives 0.91 eV per atom. The total energy is -68.688 eV per atom. The magnetic moment is 0.00 μB per atom. Its density is 15.99 g/cm3.

[4]
Below is TlHg2W at its PBEsol-relaxed geometry, with properties calculated at the meta-GGA SCAN level.

a b c (Å): 2.9027 2.9027 9.9910
angles (deg): 90.00 90.00 90.00
Atoms (fractional coordinates):
Tl 0.0000 0.0000 0.0000
Hg 0.0000 0.0000 0.4481
Hg 0.5000 0.5000 0.7137
W 0.5000 0.5000 0.2391

Properties
For the calculated formation energy, the calculation gives 0.78 eV per atom. The total energy is -68.815 eV per atom. The magnetic moment is 0.00 μB per atom. Its density is 15.57 g/cm3.

[5]
Below is YTlHg at its PBEsol-relaxed geometry, with properties calculated at the meta-GGA SCAN level.

a b c (Å): 4.8546 4.8546 3.6006
angles (deg): 90.00 90.00 120.00
Atoms (fractional coordinates):
Y 0.0000 0.0000 0.0000
Tl 0.6667 0.3333 0.4166
Hg 0.3333 0.6667 0.6046

Properties
For the calculated formation energy, the calculation gives -0.50 eV per atom. The total energy is -56.627 eV per atom. The magnetic moment is 0.00 μB per atom. Its density is 11.16 g/cm3.

[6]
Below is YTlHg at its PBEsol-relaxed geometry, with properties calculated at the meta-GGA SCAN level.

a b c (Å): 4.8262 4.8262 4.8262
angles (deg): 60.00 60.00 60.00
Atoms (fractional coordinates):
Y 0.0000 0.0000 0.0000
Tl 0.5000 0.5000 0.5000
Hg 0.2500 0.2500 0.2500

Properties
For the calculated formation energy, the calculation gives -0.57 eV per atom. The total energy is -56.688 eV per atom. The magnetic moment is 0.00 μB per atom. Its density is 10.32 g/cm3.

[7]
Below is Y3TlHg at its PBEsol-relaxed geometry, with properties calculated at the meta-GGA SCAN level.

a b c (Å): 5.6121 5.6121 5.6121
angles (deg): 90.00 90.00 90.00
Atoms (fractional coordinates):
Y 0.0000 0.0000 0.5000
Y 0.0000 0.5000 0.0000
Y 0.5000 0.0000 0.0000
Tl 0.0000 0.0000 0.0000
Hg 0.5000 0.5000 0.5000

Properties
For the calculated formation energy, the calculation gives 0.14 eV per atom. The total energy is -44.670 eV per atom. The magnetic moment is 0.34 μB per atom. Its density is 6.31 g/cm3.

[8]
Below is YTlHg at its PBEsol-relaxed geometry, with properties calculated at the meta-GGA SCAN level.

a b c (Å): 5.1266 5.1266 6.3937
angles (deg): 90.00 90.00 120.00
Atoms (fractional coordinates):
Y 0.3333 0.6667 0.2500
Y 0.6667 0.3333 0.7500
Tl 0.0000 0.0000 0.0000
Tl 0.0000 0.0000 0.5000
Hg 0.3333 0.6667 0.7500
Hg 0.6667 0.3333 0.2500

Properties
For the calculated formation energy, the calculation gives -0.54 eV per atom. The total energy is -56.662 eV per atom. The magnetic moment is 0.00 μB per atom. Its density is 11.27 g/cm3.